VASP calculation (PBE-GGA) on a relaxed structure of SrReSe2.

Lattice parameters (Å, degrees): 5.4543 5.4543 5.4543 138.37 113.24 81.84
Each line ends with the local moment (μB).
Element x y z (fractional)
1 Re 0.2500 0.7500 0.5000  0.41
2 Sr 0.7500 0.2500 0.5000  0.00
3 Se 0.4389 0.4389 0.0000  0.02
4 Se 0.0611 0.0611 0.0000  0.02

Computed properties:
The polymorph energy (0 for the lowest one) is 0.66 eV per formula unit. The value obtained for the total magnetization is 0.5 μB per cell. As for the symmetry: No. 71. As for the final energy: -5.6347 eV per atom.